SmGaRh2 (PBE, optimized geometry); DFT formation energy = -0.70 eV per atom
1.0
4.405 0.000 0.000
0.000 4.405 0.000
0.000 0.000 3.597
Sm Ga Rh
1 1 2
direct
0.000 0.000 0.000 Sm
0.500 0.500 0.000 Ga
0.000 0.500 0.500 Rh
0.500 0.000 0.500 Rh